Crystalline SrMo5 at its relaxed geometry, computed with PBE-GGA.

Computed properties:
The energy of formation is 0.65 eV/atom. For the excess energy over the best structure of this formula in the dataset, the calculation gives 1.22 eV per formula unit.

a = 5.406 Å, b = 5.406 Å, c = 5.406 Å
α = 60.00°, β = 60.00°, γ = 60.00°
Element x y z (fractional)
Sr  0.000  0.000  0.000
Mo  0.375  0.375  0.375
Mo  0.375  0.375  0.874
Mo  0.375  0.874  0.375
Mo  0.750  0.750  0.750
Mo  0.874  0.375  0.375

=====

Crystalline BaNbSeBr2 at its relaxed geometry, computed with PBE-GGA.

Computed properties:
For the excess energy over the best structure of this formula in the dataset, the calculation gives 0.00 eV per formula unit.

a = 5.346 Å, b = 5.346 Å, c = 5.156 Å
α = 90.00°, β = 90.00°, γ = 90.00°
Element x y z (fractional)
Ba  0.000  0.000  0.000
Nb  0.500  0.500  0.500
Se  0.500  0.500  0.000
Br  0.000  0.500  0.500
Br  0.500  0.000  0.500

=====

Crystalline Cs2ThS4 at its relaxed geometry, computed with PBE-GGA.

Computed properties:
As for the electronic total energy: -4.775 eV/atom.

a = 8.617 Å, b = 14.849 Å, c = 4.299 Å
α = 90.00°, β = 90.00°, γ = 90.00°
Element x y z (fractional)
Cs  0.048  0.171  0.000
Cs  0.452  0.671  0.000
Cs  0.548  0.329  0.000
Cs  0.952  0.829  0.000
Th  0.000  0.500  0.500
Th  0.500  0.000  0.500
S  0.127  0.669  0.500
S  0.203  0.464  0.000
S  0.297  0.964  0.000
S  0.373  0.169  0.500
S  0.627  0.831  0.500
S  0.703  0.036  0.000
S  0.797  0.536  0.000
S  0.873  0.331  0.500

=====

Crystalline Mg8Hg2Pb at its relaxed geometry, computed with PBE-GGA.

Computed properties:
The energy of formation is -0.08 eV/atom. For the excess energy over the best structure of this formula in the dataset, the calculation gives 0.15 eV per formula unit.

a = 7.674 Å, b = 7.674 Å, c = 5.279 Å
α = 100.59°, β = 100.59°, γ = 116.08°
Element x y z (fractional)
Mg  0.088  0.323  0.614
Mg  0.232  0.768  0.000
Mg  0.323  0.088  0.614
Mg  0.402  0.402  0.198
Mg  0.598  0.598  0.802
Mg  0.677  0.912  0.386
Mg  0.768  0.232  0.000
Mg  0.912  0.677  0.386
Hg  0.306  0.694  0.500
Hg  0.694  0.306  0.500
Pb  0.000  0.000  0.000

=====

Crystalline Li3Pr2Pd2 at its relaxed geometry, computed with PBE-GGA.

Computed properties:
The energy of formation is -0.41 eV/atom.

a = 10.573 Å, b = 4.229 Å, c = 7.478 Å
α = 90.00°, β = 114.77°, γ = 90.00°
Element x y z (fractional)
Li  0.000  0.000  0.000
Li  0.148  0.000  0.433
Li  0.352  0.500  0.567
Li  0.500  0.500  0.000
Li  0.648  0.500  0.433
Li  0.852  0.000  0.567
Pr  0.139  0.500  0.775
Pr  0.361  0.000  0.225
Pr  0.639  0.000  0.775
Pr  0.861  0.500  0.225
Pd  0.145  0.500  0.184
Pd  0.355  0.000  0.816
Pd  0.645  0.000  0.184
Pd  0.855  0.500  0.816

=====

Crystalline Y5Ti at its relaxed geometry, computed with PBE-GGA.

Computed properties:
The energy of formation is 0.15 eV/atom.

a = 4.896 Å, b = 14.626 Å, c = 4.934 Å
α = 90.00°, β = 90.00°, γ = 90.00°
Element x y z (fractional)
Y  0.000  0.000  0.000
Y  0.000  0.157  0.500
Y  0.000  0.340  0.000
Y  0.000  0.660  0.000
Y  0.000  0.843  0.500
Y  0.500  0.160  0.000
Y  0.500  0.343  0.500
Y  0.500  0.500  0.000
Y  0.500  0.657  0.500
Y  0.500  0.840  0.000
Ti  0.000  0.500  0.500
Ti  0.500  0.000  0.500

=====

Crystalline YAl3Rh at its relaxed geometry, computed with PBE-GGA.

Computed properties:
The energy of formation is -0.61 eV/atom.

a = 8.183 Å, b = 5.474 Å, c = 8.307 Å
α = 90.00°, β = 99.81°, γ = 90.00°
Element x y z (fractional)
Y  0.130  0.117  0.212
Y  0.130  0.383  0.712
Y  0.870  0.617  0.288
Y  0.870  0.883  0.788
Al  0.136  0.626  0.054
Al  0.136  0.874  0.554
Al  0.287  0.603  0.359
Al  0.287  0.897  0.859
Al  0.401  0.160  0.559
Al  0.401  0.340  0.059
Al  0.599  0.660  0.941
Al  0.599  0.840  0.441
Al  0.713  0.103  0.141
Al  0.713  0.397  0.641
Al  0.864  0.126  0.446
Al  0.864  0.374  0.946
Rh  0.454  0.651  0.651
Rh  0.454  0.849  0.151
Rh  0.546  0.151  0.849
Rh  0.546  0.349  0.349

=====

Crystalline RbBeNb2Re at its relaxed geometry, computed with PBE-GGA.

Computed properties:
The energy of formation is 3.11 eV/atom.

a = 4.829 Å, b = 4.829 Å, c = 4.060 Å
α = 90.00°, β = 90.00°, γ = 90.00°
Element x y z (fractional)
Rb  0.000  0.000  0.000
Be  0.000  0.000  0.500
Nb  0.000  0.500  0.000
Nb  0.500  0.000  0.000
Re  0.500  0.500  0.500